Density functional theory data (GGA+U) for Co2Sn2F after structural relaxation.

a b c (Å): 7.4314 7.4314 7.4314
angles (deg): 153.09 153.09 38.43
Element x y z (fractional)
Co 0.2500 0.7500 0.5000
Co 0.7500 0.2500 0.5000
Sn 0.1028 0.1028 0.0000
Sn 0.8972 0.8972 0.0000
F 0.5000 0.5000 0.0000

Uncorrected energy: -4.11 eV/atom
Energy above the lowest structure with this stoichiometry: 0.0 kJ per mole of atoms
M_tot: 3.28 Bohr magnetons per cell
Space group: I4/mmm